This record from Alexandria via LeMat-Bulk describes a relaxed structure of DyEr2Cd4. The functional is PBE.

a = 7.8266 Å, b = 7.8266 Å, c = 7.8266 Å
α = 140.44°, β = 140.44°, γ = 57.19°
Closest atoms and distances in Å follow each position.
Atoms (fractional coordinates):
Dy1 0.0000 0.0000 0.0000  8 Cd 3.09
Er1 0.2579 0.2579 0.0000  8 Cd 3.16-3.29
Er2 0.7421 0.7421 0.0000  8 Cd 3.16-3.29
Cd1 0.1163 0.6163 0.5000  2 Dy 3.09, 4 Er 3.16-3.29, 1 Cd 3.20
Cd2 0.3837 0.8837 0.5000  2 Dy 3.09, 4 Er 3.16-3.29, 1 Cd 3.20
Cd3 0.6163 0.1163 0.5000  2 Dy 3.09, 4 Er 3.16-3.29, 1 Cd 3.20
Cd4 0.8837 0.3837 0.5000  2 Dy 3.09, 4 Er 3.16-3.29, 1 Cd 3.20

Results
Symmetry: I4/mmm (139)
Energy relative to the elements, eV per atom: -0.150
E above lowest polymorph, meV/atom: 0.0